1.
An optimized crystal structure of SrCl2, computed with PBEsol.

Unit cell a=6.9143 b=6.9143 c=6.9143 alpha=90.00 beta=90.00 gamma=90.00
Last column: nearest neighbours and their distance in Å.
Space group Fm-3m (No. 225)
Asymmetric unit:
Sr  0.0000  0.0000  0.0000 x4  8 Cl 2.99
Cl  0.2500  0.2500  0.2500 x8  4 Sr 2.99

Summary:
calculated volume: 27.5 Å³/atom
D(E_F): 0.0 states/eV per cell
total magnetic moment: 0.00 μB/cell
raw total energy: -4.448 eV per atom
raw formation energy: -2496 meV/atom

***

2.
An optimized crystal structure of SrTa2Cl, computed with PBEsol.

Unit cell a=3.8115 b=3.8115 c=14.1558 alpha=90.00 beta=90.00 gamma=90.00
Last column: nearest neighbours and their distance in Å.
Space group I4/mmm (No. 139)
Asymmetric unit:
Sr  0.0000  0.0000  0.0000 x2  4 Cl 2.70
Ta  0.0000  0.5000  0.2500 x4  4 Ta 2.70
Cl  0.0000  0.0000  0.5000 x2  4 Sr 2.70

Summary:
calculated volume: 25.7 Å³/atom
ΔE to the lowest computed polymorph: 0.155 eV per atom
D(E_F): 10.5 states/eV per cell
total magnetic moment: 0.00 μB/cell
raw total energy: -6.845 eV per atom
raw formation energy: 393 meV/atom

***

3.
An optimized crystal structure of SrTa2Cl, computed with PBEsol.

Unit cell a=2.9736 b=2.9736 c=8.9887 alpha=90.00 beta=90.00 gamma=90.00
Last column: nearest neighbours and their distance in Å.
Space group P4/mmm (No. 123)
Asymmetric unit:
Sr  0.0000  0.0000  0.0000 x1  4 Sr 2.97
Ta  0.5000  0.5000  0.3125 x2  4 Cl 2.69, 4 Ta 2.97
Cl  0.0000  0.0000  0.5000 x1  8 Ta 2.69, 4 Cl 2.97

Summary:
calculated volume: 19.9 Å³/atom
ΔE to the lowest computed polymorph: 0.523 eV per atom
D(E_F): 3.8 states/eV per cell
total magnetic moment: 0.00 μB/cell
raw total energy: -6.476 eV per atom
raw formation energy: 761 meV/atom

***

4.
An optimized crystal structure of SrTa2Cl, computed with PBEsol.

Unit cell a=3.0367 b=3.0367 c=30.0388 alpha=90.00 beta=90.00 gamma=120.00
Last column: nearest neighbours and their distance in Å.
Space group R-3m (No. 166, hexagonal axes)
Asymmetric unit:
Sr  0.0000  0.0000  0.0000 x3  6 Sr 3.04, 6 Ta 3.40
Ta  0.0000  0.0000  0.2364 x6  3 Cl 2.73, 6 Ta 3.04
Cl  0.0000  0.0000  0.5000 x3  6 Ta 2.73, 6 Cl 3.04

Summary:
calculated volume: 20.0 Å³/atom
ΔE to the lowest computed polymorph: 0.399 eV per atom
D(E_F): 9.3 states/eV per cell
total magnetic moment: 0.00 μB/cell
raw total energy: -6.600 eV per atom
raw formation energy: 638 meV/atom

***

5.
An optimized crystal structure of SrTa2Cl, computed with PBEsol.

Unit cell a=5.4398 b=13.5394 c=3.2116 alpha=90.00 beta=125.75 gamma=90.00
Last column: nearest neighbours and their distance in Å.
Space group C2/m (No. 12)
Asymmetric unit:
Sr  0.0000  0.0000  0.0000 x2  4 Cl 2.72-2.74
Ta  0.2500  0.2500  0.5000 x4  4 Ta 2.72-2.74
Cl  0.0000  0.5000  0.0000 x2  4 Sr 2.72-2.74

Summary:
calculated volume: 24.0 Å³/atom
ΔE to the lowest computed polymorph: 0.000 eV per atom
D(E_F): 7.6 states/eV per cell
total magnetic moment: 0.00 μB/cell
raw total energy: -6.999 eV per atom
raw formation energy: 238 meV/atom

***

6.
An optimized crystal structure of SrTa2Cl, computed with PBEsol.

Unit cell a=3.2553 b=4.9549 c=10.0331 alpha=90.00 beta=90.00 gamma=90.00
Last column: nearest neighbours and their distance in Å.
Space group Cmmm (No. 65)
Asymmetric unit:
Sr  0.0000  0.0000  0.0000 x2  6 Sr 2.96-3.26
Ta  0.0000  0.5000  0.2888 x4  2 Cl 2.67, 4 Ta 2.96
Cl  0.0000  0.0000  0.5000 x2  4 Ta 2.67, 4 Cl 2.96

Summary:
calculated volume: 20.2 Å³/atom
ΔE to the lowest computed polymorph: 0.506 eV per atom
D(E_F): 6.9 states/eV per cell
total magnetic moment: 0.00 μB/cell
raw total energy: -6.493 eV per atom
raw formation energy: 744 meV/atom

***

Repeat the third record exactly.
An optimized crystal structure of SrTa2Cl, computed with PBEsol.

Unit cell a=2.9736 b=2.9736 c=8.9887 alpha=90.00 beta=90.00 gamma=90.00
Last column: nearest neighbours and their distance in Å.
Space group P4/mmm (No. 123)
Asymmetric unit:
Sr  0.0000  0.0000  0.0000 x1  4 Sr 2.97
Ta  0.5000  0.5000  0.3125 x2  4 Cl 2.69, 4 Ta 2.97
Cl  0.0000  0.0000  0.5000 x1  8 Ta 2.69, 4 Cl 2.97

Summary:
calculated volume: 19.9 Å³/atom
ΔE to the lowest computed polymorph: 0.523 eV per atom
D(E_F): 3.8 states/eV per cell
total magnetic moment: 0.00 μB/cell
raw total energy: -6.476 eV per atom
raw formation energy: 761 meV/atom

***

Copy entry 6 word for word.
An optimized crystal structure of SrTa2Cl, computed with PBEsol.

Unit cell a=3.2553 b=4.9549 c=10.0331 alpha=90.00 beta=90.00 gamma=90.00
Last column: nearest neighbours and their distance in Å.
Space group Cmmm (No. 65)
Asymmetric unit:
Sr  0.0000  0.0000  0.0000 x2  6 Sr 2.96-3.26
Ta  0.0000  0.5000  0.2888 x4  2 Cl 2.67, 4 Ta 2.96
Cl  0.0000  0.0000  0.5000 x2  4 Ta 2.67, 4 Cl 2.96

Summary:
calculated volume: 20.2 Å³/atom
ΔE to the lowest computed polymorph: 0.506 eV per atom
D(E_F): 6.9 states/eV per cell
total magnetic moment: 0.00 μB/cell
raw total energy: -6.493 eV per atom
raw formation energy: 744 meV/atom